# 1
Material: MgTlZnIn
Method: DFT, GGA-PBE
State: relaxed

Summary:
Final energy = -0.139 Ry per atom
ΔE_f = 0.10 eV per atom

Lattice parameters (Å, degrees): 7.2348 7.2348 7.2348 90.00 90.00 90.00
Fractional positions:
Mg 0.0000 0.0000 0.0000
Mg 0.0000 0.5000 0.5000
Mg 0.5000 0.0000 0.5000
Mg 0.5000 0.5000 0.0000
Tl 0.2500 0.2500 0.7500
Tl 0.2500 0.7500 0.2500
Tl 0.7500 0.2500 0.2500
Tl 0.7500 0.7500 0.7500
Zn 0.2500 0.2500 0.2500
Zn 0.2500 0.7500 0.7500
Zn 0.7500 0.2500 0.7500
Zn 0.7500 0.7500 0.2500
In 0.0000 0.0000 0.5000
In 0.0000 0.5000 0.0000
In 0.5000 0.0000 0.0000
In 0.5000 0.5000 0.5000

***

# 2
Material: MgZrTl2In
Method: DFT, GGA-PBE
State: relaxed

Summary:
Final energy = -0.206 Ry per atom
ΔE_f = 0.72 eV per atom

Lattice parameters (Å, degrees): 5.2360 5.2360 5.2408 90.00 90.00 90.00
Fractional positions:
Mg 0.0000 0.0000 0.0000
Zr 0.5000 0.5000 0.5000
Tl 0.0000 0.5000 0.0000
Tl 0.5000 0.0000 0.0000
In 0.0000 0.0000 0.5000

***

# 3
Material: Tm2Mg2In
Method: DFT, GGA-PBE
State: relaxed

Summary:
Final energy = -0.231 Ry per atom
ΔE_f = -0.17 eV per atom

Lattice parameters (Å, degrees): 6.1678 6.1678 9.3013 106.60 106.60 49.10
Fractional positions:
Tm 0.0442 0.0442 0.3447
Tm 0.1622 0.1622 0.0545
Tm 0.8378 0.8378 0.9455
Tm 0.9558 0.9558 0.6553
Mg 0.3608 0.3608 0.4230
Mg 0.4749 0.4749 0.1420
Mg 0.5251 0.5251 0.8580
Mg 0.6392 0.6392 0.5770
In 0.2540 0.2540 0.7128
In 0.7460 0.7460 0.2872

***

# 4
Material: Tm5Mg2In5
Method: DFT, GGA-PBE
State: relaxed

Summary:
Final energy = -0.263 Ry per atom
ΔE_f = -0.31 eV per atom

Lattice parameters (Å, degrees): 4.9866 4.9866 14.7860 99.69 99.69 60.11
Fractional positions:
Tm 0.0000 0.0000 0.0000
Tm 0.1949 0.1949 0.5877
Tm 0.2768 0.2768 0.8343
Tm 0.7232 0.7232 0.1657
Tm 0.8051 0.8051 0.4123
Mg 0.4335 0.4335 0.2943
Mg 0.5665 0.5665 0.7057
In 0.0924 0.0924 0.2716
In 0.3588 0.3588 0.0738
In 0.5000 0.5000 0.5000
In 0.6412 0.6412 0.9262
In 0.9076 0.9076 0.7284

***

Q: What is the ΔE_f in the third record?
A: -0.17 eV per atom